[1]
CsLiSe2Br (PBE, relaxed); crystal system = tetragonal; Fermi-level density of states = 8.4 states/eV/f.u.; energy above the lowest structure with this stoichiometry = 75.3 kJ per mole of atoms; ΔE_f (raw) = 0.21 eV per atom
1.0
5.8412 0.0000 0.0000
0.0000 5.8412 0.0000
0.0000 0.0000 6.7275
Br Se Cs Li
1 2 1 1
Cartesian
0.0000 0.0000 3.3637
2.9206 0.0000 0.0000
0.0000 2.9206 0.0000
0.0000 0.0000 0.0000
2.9206 2.9206 3.3637


[2]
NdSmHg2 (PBE, relaxed); crystal system = trigonal; Fermi-level density of states = 3.6 states/eV/f.u.; ΔH_f (0 K) = -7.45 kcal/mol of atoms; energy above the lowest structure with this stoichiometry = 14.5 kJ per mole of atoms
1.0
-0.5506 1.7953 -3.4058
-2.0757 -1.7302 -2.7971
-8.5737 3.9217 1.2327
Nd Sm Hg
1 1 2
Cartesian
-1.7549 0.0454 -4.1335
-5.5963 1.9915 -2.4867
-2.8225 1.0081 -1.2329
-6.6263 2.9351 0.3979


Question: Which formula does entry 1 have?
Answer: CsLiSe2Br


Question: The lowest energy above the lowest structure with this stoichiometry belongs to which entry?
Answer: NdSmHg2